First-principles (PBE) data for BiMo2Cl after structural relaxation, as listed in Alexandria via LeMat-Bulk.

The value obtained for the density of states at the Fermi level is 19.7 states/eV per cell. The calculation puts the raw total energy at -5.923 eV per atom. The value obtained for the energy above the most stable polymorph in this dataset is 0.00 kcal/mol of atoms.

The space group is Fm-3m (No. 225) and the conventional cell measures 6.644, 6.644 and 6.644 Å, with angles of 90.00, 90.00 and 90.00 degrees. Symmetry generates all atoms from Bi at (0.000, 0.000, 0.000), Mo at (0.250, 0.250, 0.250) and Cl at (0.000, 0.000, 0.500).



First-principles (PBE) data for Bi2MoCl after structural relaxation, as listed in Alexandria via LeMat-Bulk.

The value obtained for the density of states at the Fermi level is 11.4 states/eV per cell. The calculation puts the raw total energy at -4.530 eV per atom. The value obtained for the energy above the most stable polymorph in this dataset is 0.00 kcal/mol of atoms.

The space group is Fm-3m (No. 225) and the conventional cell measures 7.291, 7.291 and 7.291 Å, with angles of 90.00, 90.00 and 90.00 degrees. Symmetry generates all atoms from Bi at (0.250, 0.250, 0.250), Mo at (0.000, 0.000, 0.000) and Cl at (0.000, 0.000, 0.500).



First-principles (PBE) data for BiMo2Cl2 after structural relaxation, as listed in Alexandria via LeMat-Bulk.

The value obtained for the density of states at the Fermi level is 12.4 states/eV per cell. The calculation puts the raw total energy at -5.230 eV per atom. The value obtained for the energy above the most stable polymorph in this dataset is 6.34 kcal/mol of atoms.

The space group is P4/mbm (No. 127) and the conventional cell measures 7.174, 7.174 and 4.443 Å, with angles of 90.00, 90.00 and 90.00 degrees. Symmetry generates all atoms from Bi at (0.000, 0.000, 0.000), Mo at (0.106, 0.394, 0.000) and Cl at (0.147, 0.647, 0.500).



First-principles (PBE) data for BiMo2Cl2 after structural relaxation, as listed in Alexandria via LeMat-Bulk.

The value obtained for the density of states at the Fermi level is 7.1 states/eV per cell. The calculation puts the raw total energy at -5.506 eV per atom. The value obtained for the energy above the most stable polymorph in this dataset is 0.00 kcal/mol of atoms.

The space group is I4/mmm (No. 139) and the conventional cell measures 4.297, 4.297 and 11.368 Å, with angles of 90.00, 90.00 and 90.00 degrees. Symmetry generates all atoms from Bi at (0.000, 0.000, 0.000), Mo at (0.000, 0.000, 0.402) and Cl at (0.000, 0.500, 0.250).



First-principles (PBE) data for Bi2MoCl after structural relaxation, as listed in Alexandria via LeMat-Bulk.

The value obtained for the density of states at the Fermi level is 19.2 states/eV per cell. The calculation puts the raw total energy at -4.510 eV per atom. The value obtained for the energy above the most stable polymorph in this dataset is 0.46 kcal/mol of atoms.

The space group is I-42d (No. 122) and the conventional cell measures 6.606, 6.606 and 13.277 Å, with angles of 90.00, 90.00 and 90.00 degrees. Symmetry generates all atoms from Bi at (0.188, 0.250, 0.125), Mo at (0.000, 0.000, 0.000) and Cl at (0.000, 0.000, 0.500).



First-principles (PBE) data for BiMoCl2 after structural relaxation, as listed in Alexandria via LeMat-Bulk.

The value obtained for the density of states at the Fermi level is 8.5 states/eV per cell. The calculation puts the raw total energy at -3.966 eV per atom. The value obtained for the energy above the most stable polymorph in this dataset is 19.04 kcal/mol of atoms.

The space group is Fm-3m (No. 225) and the conventional cell measures 7.062, 7.062 and 7.062 Å, with angles of 90.00, 90.00 and 90.00 degrees. Symmetry generates all atoms from Bi at (0.000, 0.000, 0.000), Mo at (0.000, 0.000, 0.500) and Cl at (0.250, 0.250, 0.250).



First-principles (PBE) data for BiMo2Cl after structural relaxation, as listed in Alexandria via LeMat-Bulk.

The value obtained for the density of states at the Fermi level is 18.0 states/eV per cell. The calculation puts the raw total energy at -5.661 eV per atom. The value obtained for the energy above the most stable polymorph in this dataset is 6.03 kcal/mol of atoms.

The space group is I-42d (No. 122) and the conventional cell measures 6.239, 6.239 and 9.692 Å, with angles of 90.00, 90.00 and 90.00 degrees. Symmetry generates all atoms from Bi at (0.000, 0.000, 0.000), Mo at (0.183, 0.250, 0.625) and Cl at (0.000, 0.000, 0.500).



Q: Which formula does entry 7 have?
A: BiMo2Cl